Here is crystalline Ni2Bi2O at its relaxed geometry from Alexandria. Energies are from GGA+U.

The structure in extended XYZ format:
```
5
Lattice="-2.742 2.742 3.235 2.742 -2.742 3.235 2.742 2.742 -3.235" Properties=species:S:1:pos:R:3 pbc="T T T"
Ni 0.000 0.000 1.366
Ni 0.000 0.000 5.104
Bi 2.742 0.000 1.618
Bi 0.000 2.742 1.618
O 0.000 0.000 3.235
```

Results
* E above lowest polymorph: 0.000 eV per atom
* symmetry: No. 139
* E: -3.272 eV/atom
* total moment: 0.32 μB/atom